Entry 1:
# ScRu2Au

A relaxed ScRu2Au crystal (PBE, the Alexandria database).

Cell lengths 4.526, 4.526, 4.526 Å; angles 60.00, 60.00, 60.00 degrees
Element x y z (fractional)
Sc: 0.000 0.000 0.000
Ru: 0.250 0.250 0.250
Ru: 0.500 0.500 0.500
Au: 0.750 0.750 0.750

Properties
E above lowest polymorph   172 meV/atom

Entry 2:
# ScTlRu2Au

A relaxed ScTlRu2Au crystal (PBE, the Alexandria database).

Cell lengths 4.708, 4.708, 5.111 Å; angles 90.00, 90.00, 90.00 degrees
Element x y z (fractional)
Sc: 0.000 0.000 0.000
Tl: 0.500 0.500 0.500
Ru: 0.000 0.500 0.000
Ru: 0.500 0.000 0.000
Au: 0.000 0.000 0.500

Entry 3:
# TmScRuAu

A relaxed TmScRuAu crystal (PBE, the Alexandria database).

Cell lengths 4.781, 4.781, 4.781 Å; angles 60.00, 60.00, 60.00 degrees
Element x y z (fractional)
Tm: 0.000 0.000 0.000
Sc: 0.500 0.500 0.500
Ru: 0.250 0.250 0.250
Au: 0.750 0.750 0.750

Entry 4:
# ScZnRuAu

A relaxed ScZnRuAu crystal (PBE, the Alexandria database).

Cell lengths 4.510, 4.510, 4.510 Å; angles 60.00, 60.00, 60.00 degrees
Element x y z (fractional)
Sc: 0.000 0.000 0.000
Zn: 0.500 0.500 0.500
Ru: 0.750 0.750 0.750
Au: 0.250 0.250 0.250

Properties
E above lowest polymorph   75 meV/atom

Entry 5:
# ScZnRuAu

A relaxed ScZnRuAu crystal (PBE, the Alexandria database).

Cell lengths 3.620, 4.101, 4.345 Å; angles 90.00, 90.00, 90.00 degrees
Element x y z (fractional)
Sc: 0.000 0.000 0.000
Zn: 0.000 0.500 0.500
Ru: 0.500 0.500 0.000
Au: 0.500 0.000 0.500

Properties
E above lowest polymorph   0 meV/atom

Entry 6:
# ZrScRuAu

A relaxed ZrScRuAu crystal (PBE, the Alexandria database).

Cell lengths 4.721, 4.721, 4.721 Å; angles 60.00, 60.00, 60.00 degrees
Element x y z (fractional)
Zr: 0.000 0.000 0.000
Sc: 0.500 0.500 0.500
Ru: 0.250 0.250 0.250
Au: 0.750 0.750 0.750

Entry 7:
# Ru3AuSe

A relaxed Ru3AuSe crystal (PBE, the Alexandria database).

Cell lengths 4.531, 4.531, 4.531 Å; angles 90.00, 90.00, 90.00 degrees
Element x y z (fractional)
Ru: 0.000 0.000 0.500
Ru: 0.000 0.500 0.000
Ru: 0.500 0.000 0.000
Au: 0.500 0.500 0.500
Se: 0.000 0.000 0.000

Properties
Energy relative to the elements, uncorrected   1.01 eV/atom
E above lowest polymorph   0 meV/atom

Entry 8:
# Ru2AuSe

A relaxed Ru2AuSe crystal (PBE, the Alexandria database).

Cell lengths 2.959, 4.564, 4.894 Å; angles 90.00, 90.00, 90.00 degrees
Element x y z (fractional)
Ru: 0.000 0.000 0.000
Ru: 0.500 0.500 0.147
Au: 0.500 0.000 0.480
Se: 0.000 0.500 0.761

Properties
Energy relative to the elements, uncorrected   0.37 eV/atom

Entry 9:
# Ru2AuSe

A relaxed Ru2AuSe crystal (PBE, the Alexandria database).

Cell lengths 4.084, 4.084, 5.889 Å; angles 99.82, 99.82, 42.93 degrees
Element x y z (fractional)
Ru: 0.247 0.247 0.199
Ru: 0.753 0.753 0.801
Au: 0.000 0.000 0.500
Se: 0.500 0.500 0.000

Properties
Energy relative to the elements, uncorrected   0.31 eV/atom

Entry 10:
# Ru2AuSe

A relaxed Ru2AuSe crystal (PBE, the Alexandria database).

Cell lengths 6.933, 6.933, 6.933 Å; angles 132.25, 132.25, 69.84 degrees
Element x y z (fractional)
Ru: 0.085 0.625 0.960
Ru: 0.375 0.335 0.460
Ru: 0.665 0.125 0.040
Ru: 0.875 0.915 0.540
Au: 0.250 0.750 0.500
Au: 0.500 0.500 0.000
Se: 0.000 0.000 0.000
Se: 0.750 0.250 0.500

Properties
Energy relative to the elements, uncorrected   0.84 eV/atom

Entry 11:
# RuAu2Se

A relaxed RuAu2Se crystal (PBE, the Alexandria database).

Cell lengths 5.428, 5.428, 5.428 Å; angles 138.10, 138.10, 60.75 degrees
Element x y z (fractional)
Ru: 0.000 0.000 0.000
Au: 0.250 0.750 0.500
Au: 0.750 0.250 0.500
Se: 0.500 0.500 0.000

Properties
Energy relative to the elements, uncorrected   0.54 eV/atom

Entry 12:
# Ru2AuSe

A relaxed Ru2AuSe crystal (PBE, the Alexandria database).

Cell lengths 2.797, 2.797, 10.066 Å; angles 90.00, 90.00, 118.88 degrees
Element x y z (fractional)
Ru: 0.000 0.000 0.000
Ru: 0.500 0.500 0.214
Au: 0.500 0.500 0.751
Se: 0.000 0.000 0.430

Properties
Energy relative to the elements, uncorrected   0.48 eV/atom

Entry 13:
# RuAu2Se

A relaxed RuAu2Se crystal (PBE, the Alexandria database).

Cell lengths 2.815, 2.815, 9.319 Å; angles 90.00, 90.00, 90.00 degrees
Element x y z (fractional)
Ru: 0.000 0.000 0.000
Au: 0.500 0.500 0.221
Au: 0.500 0.500 0.779
Se: 0.000 0.000 0.500

Properties
Energy relative to the elements, uncorrected   0.45 eV/atom

Entry 14:
# Ru2AuSe

A relaxed Ru2AuSe crystal (PBE, the Alexandria database).

Cell lengths 4.853, 4.853, 4.853 Å; angles 130.90, 130.90, 71.98 degrees
Element x y z (fractional)
Ru: 0.000 0.000 0.000
Ru: 0.750 0.250 0.500
Au: 0.500 0.500 0.000
Se: 0.250 0.750 0.500

Properties
Energy relative to the elements, uncorrected   0.63 eV/atom

Entry 15:
# RuAu2Se

A relaxed RuAu2Se crystal (PBE, the Alexandria database).

Cell lengths 6.884, 6.884, 6.884 Å; angles 155.49, 145.69, 42.62 degrees
Element x y z (fractional)
Ru: 0.000 0.000 0.000
Au: 0.193 0.693 0.500
Au: 0.807 0.307 0.500
Se: 0.500 0.500 0.000

Properties
Energy relative to the elements, uncorrected   0.32 eV/atom

Entry 16:
# Ru2AuSe

A relaxed Ru2AuSe crystal (PBE, the Alexandria database).

Cell lengths 5.343, 5.343, 5.343 Å; angles 147.75, 127.91, 62.60 degrees
Element x y z (fractional)
Ru: 0.220 0.220 0.000
Ru: 0.780 0.780 0.000
Au: 0.500 0.000 0.500
Se: 0.000 0.500 0.500

Properties
Energy relative to the elements, uncorrected   0.50 eV/atom

Entry 17:
# RuAu2Se

A relaxed RuAu2Se crystal (PBE, the Alexandria database).

Cell lengths 9.517, 9.517, 9.517 Å; angles 18.37, 18.37, 18.37 degrees
Element x y z (fractional)
Ru: 0.000 0.000 0.000
Au: 0.252 0.252 0.252
Au: 0.502 0.502 0.502
Se: 0.725 0.725 0.725

Properties
Energy relative to the elements, uncorrected   0.11 eV/atom

Entry 18:
# RuAu2Se

A relaxed RuAu2Se crystal (PBE, the Alexandria database).

Cell lengths 2.794, 4.291, 5.922 Å; angles 90.00, 90.00, 90.00 degrees
Element x y z (fractional)
Ru: 0.000 0.000 0.000
Au: 0.500 0.500 0.238
Au: 0.500 0.500 0.762
Se: 0.000 0.000 0.500

Properties
Energy relative to the elements, uncorrected   0.51 eV/atom

Entry 19:
# Ru2AuSe

A relaxed Ru2AuSe crystal (PBE, the Alexandria database).

Cell lengths 9.599, 9.599, 9.599 Å; angles 17.10, 17.10, 17.10 degrees
Element x y z (fractional)
Ru: 0.000 0.000 0.000
Ru: 0.262 0.262 0.262
Au: 0.510 0.510 0.510
Se: 0.738 0.738 0.738

Properties
Energy relative to the elements, uncorrected   0.29 eV/atom

Entry 20:
# RuAu2Se

A relaxed RuAu2Se crystal (PBE, the Alexandria database).

Cell lengths 5.376, 5.376, 2.797 Å; angles 90.00, 90.00, 118.90 degrees
Element x y z (fractional)
Ru: 0.000 0.000 0.000
Au: 0.000 0.500 0.500
Au: 0.500 0.000 0.500
Se: 0.500 0.500 0.000

Properties
Energy relative to the elements, uncorrected   0.51 eV/atom

no.,E (eV/atom),spin magnetization (μB per formula unit),N(E_F) (states/eV/atom)
1,-7.07,0.02,1.365
2,-5.05,1.78,1.068
3,-6.48,0.00,0.473
4,-5.43,0.00,0.383
5,-5.51,0.00,0.346
6,-7.42,0.00,1.091
7,-5.91,2.84,0.626
8,-5.96,0.00,0.874
9,-6.02,0.00,0.657
10,-5.49,0.00,2.621
11,-4.29,1.00,1.298
12,-5.84,1.07,1.080
13,-4.38,2.15,0.580
14,-5.69,0.00,1.182
15,-4.50,0.74,0.858
16,-5.83,0.00,1.002
17,-4.72,0.00,0.574
18,-4.32,1.60,0.748
19,-6.03,0.00,0.908
20,-4.32,1.74,0.712